Computed, not measured: an optimized crystal structure of NaMgCd2Pt at the PBE level of DFT.

**Energy of formation**: -0.226 eV per atom
**Space group**: No. 123
**Total DFT energy (no corrections)**: -11.9 eV/f.u.

Cell lengths 5.2798, 5.2798, 4.9968 Å; angles 90.00, 90.00, 90.00 degrees
Closest atoms and distances in Å follow each position.
Fractional coordinates of all 5 atoms:
Mg 0.0000 0.0000 0.5000  2 Pt 2.50
Cd 0.0000 0.5000 0.0000  2 Pt 2.64
Cd 0.5000 0.0000 0.0000  2 Pt 2.64
Na 0.5000 0.5000 0.5000  8 Cd 3.63, 4 Mg 3.73
Pt 0.0000 0.0000 0.0000  2 Mg 2.50, 4 Cd 2.64